Entry 1:
A plane-wave DFT calculation with PBE was carried out for Zn6CdAu6 after structural relaxation.

Output
spin magnetization = 0.00 μB per formula unit
total energy = -30.3 eV per cell
ΔH_f (0 K) = -163 meV per atom

Cell: 5.2756 5.2756 9.1435 Å, 90.00 90.00 120.00°
Space group P6/mmm (No. 191)
Unique sites:
Zn1 0.0000 0.5000 0.2492
Cd1 0.0000 0.0000 0.0000
Au1 0.0000 0.0000 0.3394
Au2 0.3333 0.6667 0.0000
Au3 0.3333 0.6667 0.5000

=====

Entry 2:
A plane-wave DFT calculation with PBE was carried out for ZnCd2Au2 after structural relaxation.

Output
spin magnetization = 0.00 μB per formula unit
energy above the most stable polymorph in this dataset = 208 meV per atom
total energy = -18.7 eV per cell
ΔH_f (0 K) = 57 meV per atom

Cell: 3.9391 3.9391 13.7367 Å, 90.00 90.00 90.00°
Space group I4/mmm (No. 139)
Unique sites:
Zn1 0.0000 0.0000 0.0000
Cd1 0.0000 0.5000 0.2500
Au1 0.0000 0.0000 0.4038

=====

Entry 3:
A plane-wave DFT calculation with PBE was carried out for ZnCd3Au after structural relaxation.

Output
spin magnetization = 0.00 μB per formula unit
energy above the most stable polymorph in this dataset = 371 meV per atom
total energy = -5.6 eV per cell
ΔH_f (0 K) = 346 meV per atom

Cell: 5.0404 5.0404 5.0404 Å, 90.00 90.00 90.00°
Space group Pm-3m (No. 221)
Unique sites:
Zn1 0.0000 0.0000 0.0000
Cd1 0.0000 0.0000 0.5000
Au1 0.5000 0.5000 0.5000

=====

Entry 4:
A plane-wave DFT calculation with PBE was carried out for ZnCd2Au6 after structural relaxation.

Output
spin magnetization = 0.00 μB per formula unit
energy above the most stable polymorph in this dataset = 26 meV per atom
total energy = -47.3 eV per cell
ΔH_f (0 K) = -97 meV per atom

Cell: 3.9842 8.1722 11.6711 Å, 90.00 90.00 90.00°
Space group Immm (No. 71)
Unique sites:
Zn1 0.0000 0.0000 0.0000
Cd1 0.0000 0.0000 0.3519
Au1 0.0000 0.2368 0.1671
Au2 0.0000 0.2849 0.5000

=====

Entry 5:
A plane-wave DFT calculation with PBE was carried out for ZnCd6Au after structural relaxation.

Output
spin magnetization = 0.00 μB per formula unit
total energy = -10.2 eV per cell
ΔH_f (0 K) = -25 meV per atom

Cell: 4.2370 4.4340 9.3551 Å, 87.20 77.59 89.23°
Space group P-1 (No. 2)
Unique sites:
Zn1 0.0000 0.0000 0.0000
Cd1 0.1086 0.5677 0.7749
Cd2 0.2483 0.2480 0.5027
Cd3 0.3903 0.9363 0.2263
Au1 0.5000 0.5000 0.0000

=====

Entry 6:
A plane-wave DFT calculation with PBE was carried out for ZnCd2Au after structural relaxation.

Output
spin magnetization = 0.00 μB per formula unit
total energy = -13.3 eV per cell
ΔH_f (0 K) = -65 meV per atom

Cell: 4.2814 4.2814 8.2699 Å, 90.00 90.00 90.00°
Space group I4/mmm (No. 139)
Unique sites:
Zn1 0.0000 0.0000 0.0000
Cd1 0.0000 0.5000 0.2500
Au1 0.0000 0.0000 0.5000

=====

Entry 7:
A plane-wave DFT calculation with PBE was carried out for ZnCdAu4 after structural relaxation.

Output
spin magnetization = 0.00 μB per formula unit
energy above the most stable polymorph in this dataset = 0 meV per atom
total energy = -32.1 eV per cell
ΔH_f (0 K) = -122 meV per atom

Cell: 5.2461 5.7698 7.5478 Å, 90.00 105.98 90.00°
Space group P2_1/m (No. 11)
Unique sites:
Zn1 0.2120 0.2500 0.4870
Cd1 0.3480 0.7500 0.1329
Au1 0.1277 0.0036 0.7895
Au2 0.2943 0.7500 0.4980
Au3 0.3315 0.2500 0.1444

=====

Entry 8:
A plane-wave DFT calculation with PBE was carried out for Zn3CdAu after structural relaxation.

Output
spin magnetization = 0.00 μB per formula unit
energy above the most stable polymorph in this dataset = 2 meV per atom
total energy = -33.4 eV per cell
ΔH_f (0 K) = -66 meV per atom

Cell: 7.2316 6.1878 8.5800 Å, 90.00 111.87 90.00°
Space group P2_1/c (No. 14)
Unique sites:
Zn1 0.0462 0.1956 0.4624
Zn2 0.1724 0.5769 0.3710
Zn3 0.3335 0.6032 0.1229
Cd1 0.2384 0.0302 0.2477
Au1 0.4522 0.2168 0.0527

=====

Entry 9:
A plane-wave DFT calculation with PBE was carried out for ZnCdAu2 after structural relaxation.

Output
spin magnetization = 0.00 μB per formula unit
total energy = -26.3 eV per cell
ΔH_f (0 K) = -7 meV per atom

Cell: 3.0685 3.0685 27.1350 Å, 90.00 90.00 120.00°
Space group R3m (No. 160, hexagonal axes)
Unique sites:
Zn1 0.0000 0.0000 0.0000
Cd1 0.0000 0.0000 0.2464
Au1 0.0000 0.0000 0.4936
Au2 0.0000 0.0000 0.7407

=====

Entry 10:
A plane-wave DFT calculation with PBE was carried out for ZnCd4Au after structural relaxation.

Output
spin magnetization = 0.00 μB per formula unit
energy above the most stable polymorph in this dataset = 0 meV per atom
total energy = -17.3 eV per cell
ΔH_f (0 K) = -76 meV per atom

Cell: 6.9865 6.9865 5.1768 Å, 90.00 90.00 90.00°
Space group I422 (No. 97)
Unique sites:
Zn1 0.0000 0.0000 0.0000
Cd1 0.1502 0.3498 0.2500
Au1 0.0000 0.0000 0.5000

=====

Entry 11:
A plane-wave DFT calculation with PBE was carried out for Zn4CdAu2 after structural relaxation.

Output
spin magnetization = 0.00 μB per formula unit
energy above the most stable polymorph in this dataset = 0 meV per atom
total energy = -27.0 eV per cell
ΔH_f (0 K) = -131 meV per atom

Cell: 7.8932 7.8932 4.0555 Å, 90.00 90.00 90.00°
Space group P4_2/mnm (No. 136)
Unique sites:
Zn1 0.1044 0.3607 0.0000
Cd1 0.0000 0.0000 0.5000
Au1 0.1811 0.8189 0.0000

=====

Entry 12:
A plane-wave DFT calculation with PBE was carried out for Zn12CdAu6 after structural relaxation.

Output
spin magnetization = 0.00 μB per formula unit
energy above the most stable polymorph in this dataset = 7 meV per atom
total energy = -114.5 eV per cell
ΔH_f (0 K) = -121 meV per atom

Cell: 11.7371 11.7371 8.5874 Å, 90.00 90.00 120.00°
Space group R-3m (No. 166, hexagonal axes)
Unique sites:
Zn1 0.0000 0.3882 0.0000
Zn2 0.0832 0.1663 0.7755
Cd1 0.0000 0.0000 0.5000
Au1 0.0638 0.5319 0.7395